Entry 1:
A geometry-optimized Dy2TmB6 structure, computed with GGA-PBE.

- Final energy: -6.566 eV per atom
- Crystal system: hexagonal
- V: 11.94 A^3/atom
- N(E_F): 2.15 states/eV/f.u.

Geometry as CIF:
```
data_Dy2TmB6
_symmetry_space_group_name_H-M 'P 6/m m m'
_symmetry_Int_Tables_number 191
_symmetry_space_group_name_Hall '-P 6 2'
_cell_length_a 5.6779
_cell_length_b 5.6779
_cell_length_c 3.8487
_cell_angle_alpha 90.00
_cell_angle_beta 90.00
_cell_angle_gamma 120.00
loop_
_atom_site_label
_atom_site_fract_x
_atom_site_fract_y
_atom_site_fract_z
Dy1 0.3333 0.6667 0.0000
Tm1 0.0000 0.0000 0.0000
B1 0.0000 0.3313 0.5000
```

Entry 2:
A geometry-optimized CaEr3Tm2Bi6 structure, computed with GGA-PBE.

- Final energy: -4.775 eV per atom
- Crystal system: monoclinic
- V: 31.58 A^3/atom
- N(E_F): 3.10 states/eV/f.u.

Geometry as CIF:
```
data_CaEr3Tm2Bi6
_symmetry_space_group_name_H-M 'C 1 2/m 1'
_symmetry_Int_Tables_number 12
_cell_length_a 19.4860
_cell_length_b 4.4597
_cell_length_c 8.9600
_cell_angle_alpha 90.00
_cell_angle_beta 103.24
_cell_angle_gamma 90.00
loop_
_symmetry_equiv_pos_as_xyz
'x,y,z'
'-x,-y,-z'
'-x,y,-z'
'x,-y,z'
'x+1/2,y+1/2,z'
'-x+1/2,-y+1/2,-z'
'-x+1/2,y+1/2,-z'
'x+1/2,-y+1/2,z'
loop_
_atom_site_label
_atom_site_fract_x
_atom_site_fract_y
_atom_site_fract_z
Ca1 0.0000 0.0000 0.0000
Er1 0.0000 0.0000 0.5000
Er2 0.1643 0.5000 0.8336
Tm1 0.1662 0.5000 0.3317
Bi1 0.0010 0.5000 0.2573
Bi2 0.1674 0.0000 0.5826
Bi3 0.1698 0.0000 0.0861
```